(1)
The following is a PBE-GGA calculation of an optimized crystal structure of MnTeW2, from Alexandria.

Unit cell a=5.162 b=5.162 c=5.162 alpha=142.29 beta=127.79 gamma=66.18
Each line ends with the local moment (μB).
Atoms (fractional coordinates):
Mn 0.498 0.498 0.000  2.67
W 0.999 0.999 0.000  -0.06
W 0.745 0.245 0.500  -0.11
Te 0.258 0.758 0.500  0.00

(2)
The following is a PBE-GGA calculation of an optimized crystal structure of MnTeW2, from Alexandria.

Unit cell a=4.234 b=3.011 c=5.291 alpha=76.50 beta=90.00 gamma=90.00
Atoms (fractional coordinates):
W 0.000 0.001 0.017
W 0.500 0.276 0.268
Te 0.500 0.597 0.743
Mn 0.000 0.626 0.472

(3)
The following is a PBE-GGA calculation of an optimized crystal structure of MnTeW2, from Alexandria.

Unit cell a=4.492 b=4.492 c=4.492 alpha=60.00 beta=60.00 gamma=60.00
Atoms (fractional coordinates):
W 0.750 0.750 0.750
W 0.000 0.000 0.000
Mn 0.500 0.500 0.500
Te 0.250 0.250 0.250

(4)
The following is a PBE-GGA calculation of an optimized crystal structure of MnTeW2, from Alexandria.

Unit cell a=2.923 b=2.923 c=8.934 alpha=90.00 beta=90.00 gamma=111.27
Each line ends with the local moment (μB).
Atoms (fractional coordinates):
W 0.000 0.000 0.028  0.06
W 0.500 0.500 0.256  -0.19
Mn 0.000 0.000 0.480  3.01
Te 0.500 0.500 0.736  -0.02

(5)
The following is a PBE-GGA calculation of an optimized crystal structure of MnTeW, from Alexandria.

Unit cell a=3.236 b=3.236 c=5.987 alpha=90.00 beta=90.00 gamma=120.00
Each line ends with the local moment (μB).
Atoms (fractional coordinates):
Mn 0.000 0.000 0.964  1.16
W 0.333 0.667 0.712  -0.38
Te 0.667 0.333 0.324  -0.02

E above lowest polymorph: 0.57 eV/f.u.

(6)
The following is a PBE-GGA calculation of an optimized crystal structure of MnTeW2, from Alexandria.

Unit cell a=8.786 b=8.786 c=8.786 alpha=19.68 beta=19.68 gamma=19.68
Each line ends with the local moment (μB).
Atoms (fractional coordinates):
Te 0.750 0.750 0.750  0.02
Mn 0.250 0.250 0.250  1.78
W 0.993 0.993 0.993  -0.17
W 0.507 0.507 0.507  -0.17

(7)
The following is a PBE-GGA calculation of an optimized crystal structure of Mn2TeW, from Alexandria.

Unit cell a=4.662 b=4.662 c=4.624 alpha=80.39 beta=80.39 gamma=40.10
Each line ends with the local moment (μB).
Atoms (fractional coordinates):
W 0.261 0.261 0.195  -0.54
Te 0.498 0.498 0.528  -0.07
Mn 0.995 0.995 0.005  2.26
Mn 0.745 0.745 0.772  2.30

(8)
The following is a PBE-GGA calculation of an optimized crystal structure of MnTeW4, from Alexandria.

Unit cell a=5.357 b=5.357 c=5.357 alpha=60.00 beta=60.00 gamma=60.00
Each line ends with the local moment (μB).
Atoms (fractional coordinates):
W 0.376 0.871 0.376  -0.08
W 0.871 0.376 0.376  -0.08
W 0.376 0.376 0.376  -0.08
W 0.376 0.376 0.871  -0.08
Mn 0.750 0.750 0.750  3.54
Te 0.000 0.000 0.000  0.01

(9)
The following is a PBE-GGA calculation of an optimized crystal structure of MnTeW2, from Alexandria.

Unit cell a=8.526 b=8.526 c=8.526 alpha=21.27 beta=21.27 gamma=21.27
Each line ends with the local moment (μB).
Atoms (fractional coordinates):
Mn 0.506 0.506 0.506  2.94
W 0.992 0.992 0.992  0.02
W 0.250 0.250 0.250  -0.27
Te 0.752 0.752 0.752  -0.07

(10)
The following is a PBE-GGA calculation of an optimized crystal structure of MnTe3W, from Alexandria.

Unit cell a=4.878 b=4.878 c=4.878 alpha=90.00 beta=90.00 gamma=90.00
Atoms (fractional coordinates):
Mn 0.000 0.000 0.000
Te 0.000 0.500 0.000
Te 0.000 0.000 0.500
Te 0.500 0.000 0.000
W 0.500 0.500 0.500

E above lowest polymorph: 0.00 eV/f.u.

(11)
The following is a PBE-GGA calculation of an optimized crystal structure of Y2MnTe, from Alexandria.

Unit cell a=6.271 b=6.271 c=6.271 alpha=144.44 beta=135.46 gamma=58.24
Each line ends with the local moment (μB).
Atoms (fractional coordinates):
Mn 0.483 0.483 0.000  3.42
Y 0.727 0.227 0.500  -0.19
Y 0.999 0.999 0.000  -0.18
Te 0.291 0.791 0.500  0.00

(12)
The following is a PBE-GGA calculation of an optimized crystal structure of Y2MnTe, from Alexandria.

Unit cell a=3.767 b=3.787 c=8.003 alpha=61.76 beta=90.00 gamma=90.00
Each line ends with the local moment (μB).
Atoms (fractional coordinates):
Mn 0.500 0.250 0.250  3.49
Y 0.000 0.510 0.490  -0.32
Y 0.000 0.990 0.010  -0.32
Te 0.500 0.750 0.750  0.04

Number 1: size of the total moment 2.562 μB per formula unit, uncorrected formation energy 0.598 eV/atom. Number 2: size of the total moment 0.002 μB per formula unit, uncorrected formation energy 0.677 eV/atom. Number 3: size of the total moment 0.005 μB per formula unit, uncorrected formation energy 0.760 eV/atom. Number 4: size of the total moment 2.929 μB per formula unit, uncorrected formation energy 0.621 eV/atom. Number 5: size of the total moment 0.678 μB per formula unit, uncorrected formation energy 0.585 eV/atom. Number 6: size of the total moment 1.503 μB per formula unit, uncorrected formation energy 0.730 eV/atom. Number 7: size of the total moment 3.955 μB per formula unit, uncorrected formation energy 0.444 eV/atom. Number 8: size of the total moment 3.237 μB per formula unit, uncorrected formation energy 0.789 eV/atom. Number 9: size of the total moment 2.626 μB per formula unit, uncorrected formation energy 0.569 eV/atom. Number 10: size of the total moment 0.001 μB per formula unit, uncorrected formation energy 1.397 eV/atom. Number 11: size of the total moment 2.990 μB per formula unit, uncorrected formation energy -0.343 eV/atom. Number 12: size of the total moment 2.571 μB per formula unit, uncorrected formation energy -0.440 eV/atom.